Entry from Alexandria: an optimized crystal structure of Tb3Ce2DySe6 (PBE).

Cell and atoms, written as extended XYZ:
```
12
Lattice="3.561 -6.180 0.000 3.561 6.180 0.000 -2.387 0.000 6.774" Properties=species:S:1:pos:R:3 pbc="T T T"
Tb 0.000 0.000 0.000
Tb 3.561 2.071 0.000
Tb 3.561 -2.071 0.000
Ce 2.368 4.126 3.387
Ce 2.368 -4.126 3.387
Dy 2.368 0.000 3.387
Se 1.205 2.027 1.657
Se 0.032 0.000 5.124
Se 1.205 -2.027 1.657
Se 3.531 2.027 5.116
Se 4.704 0.000 1.649
Se 3.531 -2.027 5.116
```


Entry from Alexandria: an optimized crystal structure of TbCeDy2Se6 (PBE).

Cell and atoms, written as extended XYZ:
```
10
Lattice="3.649 2.107 6.513 -3.649 2.107 6.513 0.000 -4.214 6.513" Properties=species:S:1:pos:R:3 pbc="T T T"
Tb 0.000 0.000 0.000
Ce 0.000 0.000 9.695
Dy 0.000 0.000 3.869
Dy 0.000 0.000 13.586
Se -2.668 0.163 8.460
Se -1.092 -1.951 11.726
Se 1.192 -2.392 8.460
Se -1.143 1.921 11.726
Se 1.475 2.228 8.460
Se 2.235 0.030 11.726
```


Entry from Alexandria: an optimized crystal structure of TbCe3Dy2Se6 (PBE).

Cell and atoms, written as extended XYZ:
```
12
Lattice="3.562 -6.177 0.000 3.562 6.177 0.000 -2.380 0.000 6.854" Properties=species:S:1:pos:R:3 pbc="T T T"
Tb 0.000 0.000 0.000
Ce 2.372 4.124 3.427
Ce 2.372 0.000 3.427
Ce 2.372 -4.124 3.427
Dy 3.562 2.060 0.000
Dy 3.562 -2.060 0.000
Se 1.190 2.066 1.637
Se 0.005 0.000 5.222
Se 1.190 -2.066 1.637
Se 3.555 2.066 5.218
Se 4.740 0.000 1.633
Se 3.555 -2.066 5.218
```


Entry from Alexandria: an optimized crystal structure of Tb2CeDySe4 (PBE).

Cell and atoms, written as extended XYZ:
```
8
Lattice="7.137 0.000 0.000 0.000 4.087 0.000 -2.339 0.000 6.763" Properties=species:S:1:pos:R:3 pbc="T T T"
Tb 0.000 0.000 0.000
Tb -1.170 2.043 3.382
Ce 2.399 0.000 3.382
Dy 3.568 2.043 0.000
Se 1.176 2.043 1.644
Se 0.009 0.000 5.101
Se 4.789 0.000 1.662
Se 3.622 2.043 5.119
```


Entry from Alexandria: an optimized crystal structure of Tb2CeDy3Se6 (PBE).

Cell and atoms, written as extended XYZ:
```
12
Lattice="8.945 -2.041 0.000 8.945 2.041 0.000 -1.921 0.000 8.029" Properties=species:S:1:pos:R:3 pbc="T T T"
Tb 2.314 0.000 2.644
Tb 13.655 0.000 5.385
Ce 8.945 0.000 0.000
Dy 1.346 0.000 6.696
Dy 7.984 0.000 4.014
Dy 14.623 0.000 1.333
Se 17.388 0.000 2.073
Se -1.420 0.000 5.956
Se 4.135 0.000 7.358
Se 5.152 0.000 3.339
Se 10.817 0.000 4.689
Se 11.833 0.000 0.671
```


Entry from Alexandria: an optimized crystal structure of TbCe2DySe4 (PBE).

Cell and atoms, written as extended XYZ:
```
8
Lattice="7.138 0.000 0.000 0.000 4.108 0.000 -2.365 0.000 6.869" Properties=species:S:1:pos:R:3 pbc="T T T"
Tb 0.000 0.000 0.000
Ce -1.183 2.054 3.434
Ce 2.387 0.000 3.434
Dy 3.569 2.054 0.000
Se 1.199 2.054 1.643
Se 0.018 0.000 5.230
Se 4.755 0.000 1.638
Se 3.574 2.054 5.226
```


Entry from Alexandria: an optimized crystal structure of CeDyTeSe2 (PBE).

Cell and atoms, written as extended XYZ:
```
10
Lattice="4.633 0.000 0.000 0.000 4.633 0.000 0.000 0.000 14.100" Properties=species:S:1:pos:R:3 pbc="T T T"
Ce 0.000 0.000 0.000
Ce 2.317 2.317 7.050
Dy 0.000 0.000 10.310
Dy 2.317 2.317 3.260
Te 0.000 0.000 5.243
Te 2.317 2.317 12.293
Se 0.000 2.317 1.724
Se 0.000 2.317 8.774
Se 2.317 0.000 1.724
Se 2.317 0.000 8.774
```


Entry from Alexandria: an optimized crystal structure of CeDyTh2Se4 (PBE).

Cell and atoms, written as extended XYZ:
```
8
Lattice="7.123 0.000 0.000 0.000 4.141 0.000 -2.392 0.000 6.939" Properties=species:S:1:pos:R:3 pbc="T T T"
Ce 0.000 0.000 0.000
Dy 3.561 2.071 0.000
Th -1.196 2.071 3.470
Th 2.365 0.000 3.470
Se 1.220 2.071 1.678
Se 0.021 0.000 5.284
Se 4.710 0.000 1.655
Se 3.511 2.071 5.261
```


Entry from Alexandria: an optimized crystal structure of CeDy2ThSe4 (PBE).

Cell and atoms, written as extended XYZ:
```
8
Lattice="7.075 0.000 0.000 0.000 4.088 0.000 -2.361 0.000 6.928" Properties=species:S:1:pos:R:3 pbc="T T T"
Ce 0.000 0.000 0.000
Dy -1.181 2.044 3.464
Dy 2.357 0.000 3.464
Th 3.537 2.044 0.000
Se -0.007 0.000 5.097
Se 1.173 2.044 1.823
Se 3.540 2.044 5.105
Se 4.720 0.000 1.830
```


Entry from Alexandria: an optimized crystal structure of Ce2DyThSe5 (PBE).

Cell and atoms, written as extended XYZ:
```
9
Lattice="5.118 0.000 0.000 0.000 5.118 0.000 0.000 0.000 10.946" Properties=species:S:1:pos:R:3 pbc="T T T"
Ce 0.000 0.000 2.090
Ce 0.000 0.000 8.856
Dy 2.559 2.559 0.000
Th 2.559 2.559 5.473
Se 0.000 0.000 5.473
Se 0.000 2.559 0.000
Se 2.559 0.000 0.000
Se 2.559 2.559 2.758
Se 2.559 2.559 8.188
```


Entry from Alexandria: an optimized crystal structure of CeDy3Th4Se8 (PBE).

Cell and atoms, written as extended XYZ:
```
16
Lattice="4.069 2.349 7.065 -4.069 2.349 7.065 0.000 -4.698 7.065" Properties=species:S:1:pos:R:3 pbc="T T T"
Ce 0.000 0.000 0.000
Dy -2.034 -1.175 7.065
Dy -2.034 1.175 14.130
Dy 0.000 2.349 7.065
Th -4.069 0.000 10.597
Th -2.034 1.175 3.532
Th 2.034 1.175 3.532
Th 0.000 0.000 10.597
Se 0.000 -2.312 8.745
Se -2.002 1.156 8.745
Se 0.000 0.000 5.409
Se -2.002 -1.156 12.450
Se 2.002 1.156 8.745
Se 0.000 0.000 15.785
Se 2.002 -1.156 12.450
Se 0.000 2.312 12.450
```


Entry from Alexandria: an optimized crystal structure of CeDy2Th3Se6 (PBE).

Cell and atoms, written as extended XYZ:
```
12
Lattice="3.549 -6.124 0.000 3.549 6.124 0.000 -2.349 0.000 7.019" Properties=species:S:1:pos:R:3 pbc="T T T"
Ce 0.000 0.000 0.000
Dy 3.549 2.042 0.000
Dy 3.549 -2.042 0.000
Th 2.374 4.121 3.510
Th 2.374 0.000 3.510
Th 2.374 -4.121 3.510
Se 1.210 2.084 1.678
Se 0.061 0.000 5.368
Se 1.210 -2.084 1.678
Se 3.538 2.084 5.341
Se 4.687 0.000 1.652
Se 3.538 -2.084 5.341
```


Entry from Alexandria: an optimized crystal structure of Ce3DyTh2Se6 (PBE).

Cell and atoms, written as extended XYZ:
```
12
Lattice="3.629 -6.267 0.000 3.629 6.267 0.000 -2.408 0.000 6.809" Properties=species:S:1:pos:R:3 pbc="T T T"
Ce 0.000 0.000 0.000
Ce 3.629 2.127 0.000
Ce 3.629 -2.127 0.000
Dy 2.425 0.000 3.405
Th 2.425 4.187 3.405
Th 2.425 -4.187 3.405
Se 1.244 2.041 1.728
Se 0.069 0.000 5.109
Se 1.244 -2.041 1.728
Se 3.607 2.041 5.082
Se 4.781 0.000 1.701
Se 3.607 -2.041 5.082
```


Entry from Alexandria: an optimized crystal structure of Ce3DyTh4Se8 (PBE).

Cell and atoms, written as extended XYZ:
```
16
Lattice="4.138 2.389 6.994 -4.138 2.389 6.994 0.000 -4.778 6.994" Properties=species:S:1:pos:R:3 pbc="T T T"
Ce -2.069 -1.195 6.994
Ce -2.069 1.195 13.989
Ce 0.000 2.389 6.994
Dy 0.000 0.000 0.000
Th -4.138 0.000 10.492
Th -2.069 1.195 3.497
Th 2.069 1.195 3.497
Th 0.000 0.000 10.492
Se 0.000 -2.428 8.691
Se -2.103 1.214 8.691
Se -2.103 -1.214 12.293
Se 0.000 0.000 5.270
Se 0.000 0.000 15.713
Se 2.103 1.214 8.691
Se 2.103 -1.214 12.293
Se 0.000 2.428 12.293
```


Entry from Alexandria: an optimized crystal structure of CeDy4Th3Se8 (PBE).

Cell and atoms, written as extended XYZ:
```
16
Lattice="4.058 2.343 7.023 -4.058 2.343 7.023 0.000 -4.685 7.023" Properties=species:S:1:pos:R:3 pbc="T T T"
Ce 0.000 0.000 0.000
Dy -4.058 0.000 10.534
Dy -2.029 1.171 3.511
Dy 2.029 1.171 3.511
Dy 0.000 0.000 10.534
Th -2.029 -1.171 7.023
Th -2.029 1.171 14.046
Th 0.000 2.343 7.023
Se -2.034 -1.174 12.188
Se 0.000 0.000 5.156
Se 0.000 -2.349 8.880
Se -2.034 1.174 8.880
Se 2.034 -1.174 12.188
Se 0.000 2.349 12.188
Se 0.000 0.000 15.913
Se 2.034 1.174 8.880
```


Entry from Alexandria: an optimized crystal structure of Ce2DyThSe4 (PBE).

Cell and atoms, written as extended XYZ:
```
8
Lattice="7.201 0.000 0.000 0.000 4.158 0.000 -2.400 0.000 6.851" Properties=species:S:1:pos:R:3 pbc="T T T"
Ce 0.000 0.000 0.000
Ce -1.200 2.079 3.426
Dy 2.401 0.000 3.426
Th 3.601 2.079 0.000
Se 0.034 0.000 5.094
Se 1.232 2.079 1.776
Se 3.570 2.079 5.075
Se 4.767 0.000 1.758
```


Entry from Alexandria: an optimized crystal structure of CeDyTl2Se4 (PBE).

Cell and atoms, written as extended XYZ:
```
8
Lattice="7.396 0.000 0.000 0.000 4.268 0.000 -2.450 0.000 7.751" Properties=species:S:1:pos:R:3 pbc="T T T"
Ce 0.000 0.000 0.000
Dy 3.698 2.134 0.000
Tl -1.225 2.134 3.875
Tl 2.473 0.000 3.875
Se 1.291 2.134 1.612
Se 0.068 0.000 6.164
Se 4.878 0.000 1.587
Se 3.656 2.134 6.139
```


Entry from Alexandria: an optimized crystal structure of CeDy2TmSe4 (PBE).

Cell and atoms, written as extended XYZ:
```
8
Lattice="7.072 0.000 0.000 0.000 4.056 0.000 -2.323 0.000 6.756" Properties=species:S:1:pos:R:3 pbc="T T T"
Ce 0.000 0.000 0.000
Dy 2.375 0.000 3.378
Dy 3.536 2.028 0.000
Tm -1.161 2.028 3.378
Se 0.040 0.000 5.016
Se 1.204 2.028 1.753
Se 3.546 2.028 5.003
Se 4.709 0.000 1.740
```


Entry from Alexandria: an optimized crystal structure of Ce4DyTm3Se8 (PBE).

Cell and atoms, written as extended XYZ:
```
16
Lattice="4.078 2.354 6.861 -4.078 2.354 6.861 0.000 -4.708 6.861" Properties=species:S:1:pos:R:3 pbc="T T T"
Ce 0.000 0.000 0.000
Ce -2.039 -1.177 6.861
Ce -2.039 1.177 13.722
Ce 0.000 2.354 6.861
Dy 0.000 0.000 10.291
Tm -4.078 0.000 10.291
Tm -2.039 1.177 3.430
Tm 2.039 1.177 3.430
Se -2.055 -1.187 11.898
Se 0.000 0.000 5.024
Se 0.000 -2.373 8.685
Se -2.055 1.187 8.685
Se 2.055 -1.187 11.898
Se 0.000 2.373 11.898
Se 0.000 0.000 15.558
Se 2.055 1.187 8.684
```


Entry from Alexandria: an optimized crystal structure of Ce2DyTmSe4 (PBE).

Cell and atoms, written as extended XYZ:
```
8
Lattice="7.082 0.000 0.000 0.000 4.076 0.000 -2.347 0.000 6.881" Properties=species:S:1:pos:R:3 pbc="T T T"
Ce 0.000 0.000 0.000
Ce 3.541 2.038 0.000
Dy -1.174 2.038 3.440
Tm 2.367 0.000 3.440
Se 0.029 0.000 5.064
Se 1.203 2.038 1.830
Se 3.532 2.038 5.051
Se 4.706 0.000 1.817
```


Entry from Alexandria: an optimized crystal structure of CeDy2Tm3Se6 (PBE).

Cell and atoms, written as extended XYZ:
```
12
Lattice="8.890 -2.017 0.000 8.890 2.017 0.000 -1.981 0.000 7.963" Properties=species:S:1:pos:R:3 pbc="T T T"
Ce 0.000 0.000 0.000
Dy 4.647 0.000 5.348
Dy 11.152 0.000 2.615
Tm -0.990 0.000 3.982
Tm 5.643 0.000 1.320
Tm 10.156 0.000 6.643
Se 1.805 0.000 4.671
Se 2.896 0.000 0.653
Se 8.350 0.000 2.083
Se 7.449 0.000 5.880
Se 12.902 0.000 7.310
Se 13.994 0.000 3.292
```


Entry from Alexandria: an optimized crystal structure of CeDy3Tm2Se6 (PBE).

Cell and atoms, written as extended XYZ:
```
12
Lattice="8.881 -2.027 0.000 8.881 2.027 0.000 -1.863 0.000 7.993" Properties=species:S:1:pos:R:3 pbc="T T T"
Ce 0.000 0.000 0.000
Dy -0.932 0.000 3.996
Dy 5.689 0.000 1.326
Dy 10.210 0.000 6.667
Tm 4.717 0.000 5.370
Tm 11.182 0.000 2.623
Se 1.929 0.000 4.636
Se 2.882 0.000 0.716
Se 7.462 0.000 5.919
Se 8.437 0.000 2.074
Se 13.017 0.000 7.277
Se 13.970 0.000 3.357
```


We obtain raw total energy values of -0.44573; -0.43296; -0.45426; -0.44095; -0.43597; -0.45442; -0.40242; -0.48338; -0.46144; -0.42410; -0.47667; -0.47860; -0.48239; -0.49103; -0.46572; -0.47512; -0.36742; -0.43651; -0.44980; -0.45112; -0.42949; -0.43121 Ry/atom for the records listed above, in that order.
We obtain energy relative to the elements, uncorrected values of -1.792; -1.823; -1.802; -1.783; -1.773; -1.803; -1.346; -1.662; -1.716; -1.180; -1.654; -1.653; -1.717; -1.683; -1.682; -1.736; -1.348; -1.746; -1.768; -1.778; -1.722; -1.734 eV/atom for the records listed above, in that order.